The following is a DFT calculation (GGA-PBE) of crystalline PmDyRh at its relaxed geometry.

a b c (Å): 6.883 6.883 6.883
angles (deg): 90.00 90.00 90.00
Element x y z (fractional)
Pm (0.000, 0.000, 0.000)
Pm (0.000, 0.500, 0.500)
Pm (0.500, 0.000, 0.500)
Pm (0.500, 0.500, 0.000)
Dy (0.000, 0.000, 0.500)
Dy (0.000, 0.500, 0.000)
Dy (0.500, 0.000, 0.000)
Dy (0.500, 0.500, 0.500)
Rh (0.250, 0.250, 0.250)
Rh (0.250, 0.750, 0.750)
Rh (0.750, 0.250, 0.750)
Rh (0.750, 0.750, 0.250)

Calculated values
Calculated formation energy = -151 kJ/mol of formula units
Raw total energy = -73.10 eV per cell
Distance to the lowest polymorph of the same formula = 22.7 meV/atom
Symmetry = F-43m, No. 216